# 1
Below is a relaxed structure of CdRePt, with properties calculated at the PBE level.

Geometry as POSCAR:
```
CdRePt
1.0
0.000 3.069 3.069
3.069 0.000 3.069
3.069 3.069 0.000
Cd Re Pt
1 1 1
Direct
0.000 0.000 0.000
0.500 0.500 0.500
0.250 0.250 0.250
```

Calculated values
- symmetry = F-43m (216)
- total DFT energy (no corrections) (eV per atom) = -5.8069
- V (Å³/cell) = 58
- energy relative to the lowest polymorph listed for this composition (meV per atom) = 0

# 2
Below is a relaxed structure of CdSbPt2, with properties calculated at the PBE level.

Geometry as POSCAR:
```
CdSbPt2
1.0
0.000 3.353 3.353
3.353 0.000 3.353
3.353 3.353 0.000
Cd Sb Pt
1 1 2
Direct
0.000 0.000 0.000
0.750 0.750 0.750
0.250 0.250 0.250
0.500 0.500 0.500
```

Calculated values
- symmetry = F-43m (216)
- total DFT energy (no corrections) (eV per atom) = -4.2937
- V (Å³/cell) = 75

# 3
Below is a relaxed structure of Cd2SbPt, with properties calculated at the PBE level.

Geometry as POSCAR:
```
Cd2SbPt
1.0
0.000 3.468 3.468
3.468 0.000 3.468
3.468 3.468 0.000
Cd Sb Pt
2 1 1
Direct
0.000 0.000 0.000
0.250 0.250 0.250
0.500 0.500 0.500
0.750 0.750 0.750
```

Calculated values
- symmetry = F-43m (216)
- total DFT energy (no corrections) (eV per atom) = -2.9423
- V (Å³/cell) = 83

# 4
Below is a relaxed structure of ScCdPt, with properties calculated at the PBE level.

Geometry as POSCAR:
```
ScCdPt
1.0
0.000 3.216 3.216
3.216 0.000 3.216
3.216 3.216 0.000
Sc Cd Pt
1 1 1
Direct
0.000 0.000 0.000
0.500 0.500 0.500
0.750 0.750 0.750
```

Calculated values
- symmetry = F-43m (216)
- total DFT energy (no corrections) (eV per atom) = -5.1097
- V (Å³/cell) = 67